# 1
The following is a DFT calculation (PBE) of an optimized crystal structure of CoMoRu2.

## Properties
Energy of formation from the pure elements ... 0.38 eV per atom

```
4
Lattice="4.292 0.000 0.000 2.146 3.717 0.000 2.146 1.239 3.504" Properties=species:S:1:pos:R:3 pbc="T T T"
Co 4.292 2.478 1.752
Ru 6.438 3.717 2.628
Mo 2.146 1.239 0.876
Ru 0.000 0.000 0.000
```

---

# 2
The following is a DFT calculation (PBE) of an optimized crystal structure of CoAs2Pt.

## Properties
Energy of formation from the pure elements ... -0.03 eV per atom

```
4
Lattice="3.003 -0.007 0.000 0.007 3.003 0.000 0.000 0.000 7.576" Properties=species:S:1:pos:R:3 pbc="T T T"
Co 0.000 0.000 3.745
As 1.505 1.498 2.552
As 0.000 0.000 7.057
Pt 1.505 1.498 5.586
```

---

# 3
The following is a DFT calculation (PBE) of an optimized crystal structure of KMg2Sb.

## Properties
Raw formation energy ... -0.0166 eV/atom

```
8
Lattice="9.292 0.000 0.000 0.000 9.292 0.000 4.646 4.646 3.378" Properties=species:S:1:pos:R:3 pbc="T T T"
K 4.646 4.646 0.000
Mg 7.784 2.323 0.844
Mg 1.507 6.969 0.844
K 4.646 9.292 1.689
Sb 0.000 0.000 0.000
Mg 11.615 12.430 2.533
Sb 9.292 4.646 1.689
Mg 6.969 6.153 2.533
```

---

# 4
The following is a DFT calculation (PBE) of an optimized crystal structure of Zn2CuRu.

## Properties
Energy of formation from the pure elements ... 0.05 eV per atom

```
4
Lattice="-1.458 1.640 -1.488 -1.468 -1.486 1.633 0.610 5.979 5.991" Properties=species:S:1:pos:R:3 pbc="T T T"
Ru -1.005 4.561 4.566
Cu -1.310 1.571 1.570
Zn 0.003 0.032 0.032
Zn 0.302 2.957 2.963
```

---

# 5
The following is a DFT calculation (PBE) of an optimized crystal structure of CrAgRu2.

## Properties
Energy of formation from the pure elements ... 0.58 eV per atom

```
4
Lattice="-0.883 -3.696 2.075 -4.091 -1.381 0.314 -1.287 -3.481 -2.230" Properties=species:S:1:pos:R:3 pbc="T T T"
Cr 0.000 0.000 0.000
Ru -4.696 -6.418 0.120
Ag -3.131 -4.279 0.080
Ru -1.565 -2.139 0.040
```

---

# 6
The following is a DFT calculation (PBE) of an optimized crystal structure of MoIr2Os3.

## Properties
Energy of formation from the pure elements ... -0.03 eV per atom

```
12
Lattice="3.774 0.000 0.931 1.549 5.634 1.836 -0.028 -0.029 8.231" Properties=species:S:1:pos:R:3 pbc="T T T"
Os 0.599 1.635 5.689
Os 2.372 3.515 6.617
Mo 1.812 4.893 8.887
Os 2.923 2.091 4.382
Os 1.150 0.217 3.455
Mo 3.483 0.712 2.111
Os 4.145 5.388 7.543
Ir 3.803 3.049 8.930
Ir 3.264 4.480 2.998
Os 4.696 3.970 5.309
Ir 2.030 1.125 8.001
Ir 1.492 2.556 2.068
```

---

# 7
The following is a DFT calculation (PBE) of an optimized crystal structure of HgTe2Au.

## Properties
Raw formation energy ... 0.0009 eV/atom

```
4
Lattice="-2.613 0.187 -3.308 2.373 -2.835 -2.035 -3.262 -4.401 2.328" Properties=species:S:1:pos:R:3 pbc="T T T"
Te 0.000 0.000 0.000
Te -1.751 -3.525 -1.507
Hg -0.120 -1.324 -2.672
Au -1.631 -2.200 1.164
```

---

# 8
The following is a DFT calculation (PBE) of an optimized crystal structure of Er3IrPt.

## Properties
Energy of formation from the pure elements ... -0.90 eV per atom

```
10
Lattice="3.965 -0.001 0.000 0.002 6.959 0.000 0.000 0.000 8.810" Properties=species:S:1:pos:R:3 pbc="T T T"
Ir 0.993 5.219 7.368
Pt 2.975 5.218 3.558
Er 2.975 5.218 0.433
Pt 0.992 1.739 5.252
Er 0.992 1.739 8.377
Ir 2.974 1.739 1.442
Er 2.975 3.597 5.967
Er 0.992 3.361 2.843
Er 0.991 0.118 2.843
Er 2.976 6.840 5.967
```

---

# 9
The following is a DFT calculation (PBE) of an optimized crystal structure of Ce3Ag5Se12.

## Properties
Raw formation energy ... -0.6300 eV/atom

```
80
Lattice="13.986 0.000 0.000 -4.662 13.186 0.000 -4.662 -6.593 11.419" Properties=species:S:1:pos:R:3 pbc="T T T"
Ag 6.993 0.000 0.000
Ag 1.165 4.121 9.992
Se -1.879 -0.003 9.482
Ag 3.496 2.472 1.427
Ce -3.496 2.472 9.992
Ce -5.827 6.593 8.564
Ce 3.496 0.000 8.564
Se -2.452 -5.151 10.853
Se -5.114 0.003 9.482
Se 8.370 -4.587 9.887
Se -5.616 3.620 8.213
Se 5.114 1.679 10.453
Ce 8.158 9.065 1.427
Se -1.708 -0.733 5.143
Se 5.616 -0.966 6.681
Se 3.285 5.626 4.738
Se -2.954 7.384 8.916
Ag -1.165 0.824 7.137
Se -4.039 5.860 6.276
Ag 4.662 6.593 0.000
Ce -1.165 5.769 7.137
Se 2.783 4.917 0.971
Ce 5.827 0.824 4.282
Ag -2.331 -3.296 5.710
Se 2.954 1.524 3.772
Se 2.209 8.678 4.744
Ag -1.165 10.713 1.427
Se 5.285 5.801 8.916
Se 0.623 8.117 7.647
Ag -2.331 6.593 0.000
Ag -4.662 3.296 5.710
Se -2.452 3.066 7.242
Ag 8.158 -0.824 7.137
Se -0.452 4.914 0.966
Ce -3.496 -2.472 9.992
Se 6.369 7.326 6.276
Se -0.452 8.269 0.971
Se 7.114 3.527 4.177
Ag 2.331 3.296 5.710
Se -1.377 4.587 9.887
Se 1.879 1.676 10.448
Se -4.783 9.658 4.177
Se 9.445 -3.066 7.242
Se 5.114 -1.676 10.448
Ag 5.827 5.769 4.282
Ce 10.489 0.000 2.855
Se 7.616 -0.792 2.503
Ag -3.496 7.417 4.282
Se 0.122 4.508 4.744
Se 8.700 0.733 5.143
Se -4.540 5.151 10.853
Se -0.623 0.792 2.503
Se 4.540 2.085 6.676
Ag 4.662 -3.296 5.710
Se 6.541 6.596 1.937
Se 1.708 5.069 7.647
Ag 0.000 0.000 0.000
Se 1.879 -1.679 10.453
Ag 5.827 -4.121 9.992
Ce 8.158 4.121 1.427
Se -3.708 11.180 1.532
Se 9.202 1.442 0.566
Se -0.954 7.559 4.738
Ce 1.165 6.593 2.855
Se 4.039 -1.524 3.772
Se 6.039 2.006 1.532
Se 2.783 8.272 0.966
Ag 1.165 -3.296 8.564
Se 10.278 2.973 3.206
Se 9.776 6.590 1.937
Se 7.114 11.743 0.566
Se 2.452 -2.085 6.676
Ce 3.496 7.417 7.137
Ag 5.827 3.296 8.564
Ag 3.496 9.889 2.855
Se 1.377 0.966 6.681
Se -1.377 -3.620 8.213
Ag -1.165 3.296 2.855
Se 6.039 10.213 3.206
Ce 1.165 -0.824 4.282
```

---

# 10
The following is a DFT calculation (PBE) of an optimized crystal structure of PrNd2PtO5.

## Properties
Raw formation energy ... -2.4173 eV/atom

```
18
Lattice="-1.101 2.831 -5.023 -6.084 -2.891 -0.296 -2.616 5.151 3.476" Properties=species:S:1:pos:R:3 pbc="T T T"
Pr -4.350 1.130 1.590
Pt -3.042 -1.445 -0.148
Nd -5.056 0.350 -2.124
Nd -4.745 4.741 0.282
O -3.356 1.863 -3.358
O -6.935 1.474 -2.793
O -2.866 3.617 0.951
Nd -2.442 2.638 -1.408
Pt -1.308 2.575 1.738
Nd -7.359 2.453 -0.434
O -6.385 0.060 -0.283
O -2.806 0.448 -0.848
O -3.416 5.031 -1.559
Pr 0.000 0.000 0.000
O -0.550 1.415 -2.511
O -4.901 2.545 -0.921
O -6.995 4.643 -0.994
O -6.445 3.228 1.516
```

---

# 11
The following is a DFT calculation (PBE) of an optimized crystal structure of KNpCuI6.

## Properties
Raw formation energy ... -0.7378 eV/atom

```
18
Lattice="7.613 0.000 0.000 -3.807 6.593 0.000 0.000 0.000 15.900" Properties=species:S:1:pos:R:3 pbc="T T T"
I 2.494 4.149 2.276
I -2.346 4.235 13.624
I 2.773 0.086 2.276
I 1.461 2.358 5.674
I 2.346 4.235 10.226
Cu 0.000 4.395 11.925
Np 0.000 4.395 3.975
Np 3.807 2.198 11.925
I -1.312 2.444 10.226
I -1.034 6.507 10.226
I 5.119 4.149 5.674
I 1.034 6.507 13.624
K 0.000 0.000 7.950
I 4.840 0.086 5.674
I 6.152 2.358 2.276
I 1.312 2.444 13.624
Cu 3.807 2.198 3.975
K 0.000 0.000 0.000
```

---

# 12
The following is a DFT calculation (PBE) of an optimized crystal structure of Ti5Fe2Mo2Ir.

## Properties
Energy of formation from the pure elements ... -0.15 eV per atom

```
20
Lattice="-1.575 1.824 -1.679 5.387 -2.874 -8.180 -6.723 -7.466 -1.805" Properties=species:S:1:pos:R:3 pbc="T T T"
Mo -0.090 -7.409 -7.968
Mo -3.796 -7.096 -4.150
Ti -4.149 -2.821 -1.742
Mo 2.460 -3.244 -5.834
Ti 1.906 -0.525 -4.929
Fe 1.087 -2.046 -3.244
Ti 0.021 -4.444 -7.420
Fe -2.422 -8.293 -6.740
Ti -2.549 -5.954 -6.648
Ti -0.362 -2.561 -5.014
Ti -5.831 -5.170 -2.717
Ti -2.869 -8.428 -9.038
Fe -3.539 -5.105 -2.227
Ti 2.920 -3.345 -8.946
Ir 0.000 0.000 0.000
Fe 2.203 -5.234 -7.757
Ti -0.042 -0.087 -2.624
Mo -1.245 -2.930 -2.016
Ti -2.932 -4.071 -4.243
Ir -0.668 -5.170 -4.992
```

---

# 13
The following is a DFT calculation (PBE) of an optimized crystal structure of NaTb2PrTl4.

## Properties
Energy of formation from the pure elements ... -0.30 eV per atom

```
8
Lattice="5.377 0.000 0.000 2.688 4.657 0.000 2.688 1.552 8.998" Properties=species:S:1:pos:R:3 pbc="T T T"
Na 5.377 3.104 4.499
Tb 2.688 1.552 2.370
Pr 0.000 0.000 0.000
Tb 8.065 4.657 6.628
Tl 5.377 3.104 1.181
Tl 5.377 3.104 7.817
Tl 8.065 4.657 3.415
Tl 2.688 1.552 5.583
```

---

# 14
The following is a DFT calculation (PBE) of an optimized crystal structure of Zn2Pd6Au.

## Properties
Energy of formation from the pure elements ... -0.30 eV per atom

```
18
Lattice="4.040 0.000 0.162 0.000 8.262 0.000 -0.330 0.000 8.255" Properties=species:S:1:pos:R:3 pbc="T T T"
Pd 1.800 4.108 5.583
Pd 1.910 4.154 2.833
Zn 1.913 1.451 2.758
Pd 3.765 8.239 7.041
Pd 1.909 6.920 2.868
Pd 2.019 6.885 0.104
Pd -0.054 2.789 1.340
Au 2.020 4.131 0.081
Zn -0.058 5.582 1.450
Pd 3.764 5.472 7.076
Pd -0.164 2.754 4.104
Pd 3.874 5.507 4.312
Au -0.165 0.000 4.127
Pd 1.802 1.342 5.548
Zn 1.797 6.811 5.658
Zn 3.768 2.680 6.966
Pd -0.055 0.023 1.375
Pd 1.691 1.377 8.312
```

---

# 15
The following is a DFT calculation (PBE) of an optimized crystal structure of HgBI2.

## Properties
Raw formation energy ... 1.1147 eV/atom

```
4
Lattice="4.285 2.903 1.635 -0.321 3.013 4.504 2.737 -1.472 4.451" Properties=species:S:1:pos:R:3 pbc="T T T"
I 1.675 1.111 2.647
I 5.026 3.333 7.942
Hg 3.351 2.222 5.295
B 0.000 0.000 0.000
```

---

# 16
The following is a DFT calculation (PBE) of an optimized crystal structure of PmEuPt2.

## Properties
Energy of formation from the pure elements ... -1.01 eV per atom

```
4
Lattice="5.065 0.000 0.000 2.532 4.386 0.000 2.532 1.462 4.135" Properties=species:S:1:pos:R:3 pbc="T T T"
Pm 0.000 0.000 0.000
Pt 7.597 4.386 3.102
Pt 2.532 1.462 1.034
Eu 5.065 2.924 2.068
```

---

# 17
The following is a DFT calculation (PBE) of an optimized crystal structure of DyHSe.

```
3
Lattice="-0.932 -3.710 -0.290 3.668 1.085 -0.295 0.432 -0.410 3.861" Properties=species:S:1:pos:R:3 pbc="T T T"
H 0.601 -2.112 -0.292
Dy 0.000 0.000 0.000
Se 2.351 -0.719 1.637
```

---

# 18
The following is a DFT calculation (PBE) of an optimized crystal structure of Ce5PmIr6.

## Properties
Energy of formation from the pure elements ... -0.67 eV per atom

```
12
Lattice="-3.623 2.293 -5.532 -6.760 0.633 1.730 -2.399 6.055 2.601" Properties=species:S:1:pos:R:3 pbc="T T T"
Ce -6.107 4.452 2.885
Ir -2.672 0.752 -0.975
Ce -8.247 3.680 -0.461
Ir -4.102 3.843 -3.087
Ir -7.712 2.174 -2.827
Ir -8.680 5.138 1.886
Ce -4.535 5.301 -0.740
Ce -3.052 2.236 1.446
Ir -7.175 5.959 -1.678
Ir -5.607 3.023 0.477
Ce -5.192 1.463 -1.901
Pm 0.000 0.000 0.000
```

---

# 19
The following is a DFT calculation (PBE) of an optimized crystal structure of Ga3AgTe.

## Properties
Raw formation energy ... 0.1030 eV/atom

```
5
Lattice="-4.666 -1.774 -0.668 1.778 -3.483 -3.174 0.656 -3.177 3.853" Properties=species:S:1:pos:R:3 pbc="T T T"
Ga -2.333 -0.887 -0.334
Ga 0.889 -1.741 -1.587
Ga 0.328 -1.588 1.927
Te -1.116 -4.217 0.005
Ag 0.000 0.000 0.000
```

---

# 20
The following is a DFT calculation (PBE) of an optimized crystal structure of K2NiTe.

## Properties
Raw formation energy ... -0.3475 eV/atom

```
4
Lattice="-2.751 -2.548 -4.885 -5.333 -2.222 2.131 2.740 5.511 -0.215" Properties=species:S:1:pos:R:3 pbc="T T T"
Te -4.004 0.047 0.036
K -1.804 0.420 -3.162
K -0.312 -0.184 -0.106
Ni -3.267 -1.928 -1.113
```

---

no.,electronic total energy (eV/atom),mass density (g cm⁻³)
1,-8.75,10.60
2,-5.64,9.82
3,-2.12,2.39
4,-3.93,8.92
5,-7.18,10.48
6,-10.40,19.91
7,-2.46,10.22
8,-6.62,12.15
9,-4.32,6.02
10,-7.43,8.77
11,-3.79,4.58
12,-8.84,7.98
13,-3.41,9.58
14,-4.41,11.63
15,-1.41,6.83
16,-7.79,12.42
17,-5.27,8.09
18,-7.97,11.82
19,-2.91,5.78
20,-3.13,3.31